(1)
Compound: RbCe2AuSe4
Source: the Alexandria database
Functional: PBE
Structure: relaxed

## Properties
**DFT total energy**: -5.1661 eV per atom
**Formation energy from raw total energies**: -1.41 eV per atom

Unit cell a=4.3342 b=7.6480 c=14.9326 alpha=90.00 beta=90.00 gamma=106.46
Site moments in Bohr magnetons follow the coordinates.
Fractional positions:
Se 0.5560 0.1120 0.2500  -0.01
Se 0.2627 0.5254 0.1054  -0.02
Se 0.0000 0.0000 0.5000  -0.03
Se 0.7373 0.4746 0.8946  -0.02
Se 0.0000 0.0000 0.0000  -0.03
Se 0.7373 0.4746 0.6054  -0.02
Se 0.4440 0.8880 0.7500  -0.01
Se 0.2627 0.5254 0.3946  -0.02
Ce 0.3693 0.7387 0.5652  0.94
Ce 0.6307 0.2613 0.0652  0.94
Ce 0.6307 0.2613 0.4348  0.94
Ce 0.3693 0.7387 0.9348  0.94
Rb 0.8808 0.7616 0.2500  0.00
Rb 0.1192 0.2384 0.7500  0.00
Au 0.8440 0.6880 0.7500  0.00
Au 0.1560 0.3120 0.2500  0.00

(2)
Compound: Rb3Ce3AuSe8
Source: the Alexandria database
Functional: PBE
Structure: relaxed

## Properties
**DFT total energy**: -4.8034 eV per atom
**Formation energy from raw total energies**: -1.35 eV per atom

Unit cell a=8.2953 b=8.6968 c=9.5401 alpha=118.29 beta=90.00 gamma=118.48
Site moments in Bohr magnetons follow the coordinates.
Fractional positions:
Se 0.2952 0.5904 0.7353  -0.02
Se 0.7048 0.4096 0.2647  -0.02
Se 0.7302 0.4604 0.7010  -0.02
Se 0.2017 0.9623 0.6744  0.01
Se 0.7607 0.9623 0.6744  0.01
Se 0.7983 0.0377 0.3256  0.01
Se 0.2698 0.5396 0.2990  -0.02
Se 0.2393 0.0377 0.3256  0.01
Ce 0.5000 0.0000 0.5000  0.71
Ce 0.0000 0.5000 0.5000  0.59
Ce 0.5000 0.5000 0.5000  0.59
Rb 0.0000 0.5000 0.0000  0.00
Rb 0.0000 0.0000 0.0000  0.00
Rb 0.5000 0.5000 0.0000  0.00
Au 0.0000 0.0000 0.5000  0.05

(3)
Compound: Rb3Ce2AuSe6
Source: the Alexandria database
Functional: PBE
Structure: relaxed

## Properties
**DFT total energy**: -4.5157 eV per atom
**Formation energy from raw total energies**: -1.27 eV per atom

Unit cell a=7.7628 b=7.7628 c=8.1559 alpha=97.02 beta=97.02 gamma=124.75
Site moments in Bohr magnetons follow the coordinates.
Fractional positions:
Ce 0.3327 0.6673 0.0000  0.19
Ce 0.6673 0.3327 0.0000  0.19
Se 0.7453 0.7453 0.1670  -0.01
Se 0.4469 0.0610 0.2126  -0.01
Se 0.9390 0.5531 0.7874  -0.01
Se 0.2547 0.2547 0.8330  -0.01
Se 0.5531 0.9390 0.7874  -0.01
Se 0.0610 0.4469 0.2126  -0.01
Au 0.0000 0.0000 0.0000  -0.01
Rb 0.5000 0.5000 0.5000  0.00
Rb 0.8507 0.1493 0.5000  0.00
Rb 0.1493 0.8507 0.5000  0.00

(4)
Compound: RbCe4Au3Se12
Source: the Alexandria database
Functional: PBE
Structure: relaxed

## Properties
**DFT total energy**: -4.7745 eV per atom
**Formation energy from raw total energies**: -0.96 eV per atom

Unit cell a=9.1174 b=9.1174 c=9.1174 alpha=109.47 beta=109.47 gamma=109.47
Site moments in Bohr magnetons follow the coordinates.
Fractional positions:
Se 0.8367 0.1569 0.3202  0.00
Se 0.8367 0.5165 0.6798  0.00
Se 0.4835 0.3202 0.1633  0.00
Se 0.3202 0.8367 0.1569  0.00
Se 0.8431 0.6798 0.1633  0.00
Se 0.1633 0.4835 0.3202  0.00
Se 0.1569 0.3202 0.8367  0.00
Se 0.3202 0.1633 0.4835  0.00
Se 0.6798 0.1633 0.8431  0.00
Se 0.6798 0.8367 0.5165  0.00
Se 0.1633 0.8431 0.6798  0.00
Se 0.5165 0.6798 0.8367  0.00
Ce 0.0000 0.5000 0.0000  0.30
Ce 0.5000 0.0000 0.0000  0.30
Ce 0.5000 0.5000 0.5000  0.30
Ce 0.0000 0.0000 0.5000  0.30
Au 0.5000 0.0000 0.5000  0.06
Au 0.0000 0.5000 0.5000  0.06
Au 0.5000 0.5000 0.0000  0.06
Rb 0.0000 0.0000 0.0000  0.00

(5)
Compound: Rb2CeAu2Se4
Source: the Alexandria database
Functional: PBE
Structure: relaxed

## Properties
**DFT total energy**: -4.1670 eV per atom
**Formation energy from raw total energies**: -1.02 eV per atom

Unit cell a=4.3152 b=8.2435 c=8.1095 alpha=108.26 beta=105.43 gamma=90.00
Site moments in Bohr magnetons follow the coordinates.
Fractional positions:
Se 0.1941 0.1891 0.3881  -0.01
Se 0.5101 0.7626 0.0203  -0.01
Se 0.4899 0.2374 0.9797  -0.01
Se 0.8059 0.8109 0.6119  -0.01
Ce 0.0000 0.0000 0.0000  0.25
Au 0.3302 0.0055 0.6604  -0.01
Au 0.6698 0.9945 0.3396  -0.01
Rb 0.8648 0.4210 0.7295  0.00
Rb 0.1352 0.5790 0.2705  0.00

(6)
Compound: Ce5ReAu2
Source: the Alexandria database
Functional: PBE
Structure: relaxed

## Properties
**DFT total energy**: -6.3711 eV per atom
**Formation enthalpy at 0 K**: -2.296 eV/f.u.

Unit cell a=4.6160 b=7.6276 c=11.7486 alpha=90.00 beta=90.00 gamma=90.00
Site moments in Bohr magnetons follow the coordinates.
Fractional positions:
Ce 0.0000 0.1326 0.7866  0.54
Ce 0.5000 0.7944 0.9394  0.54
Ce 0.5000 0.2944 0.5606  0.54
Ce 0.0000 0.0000 0.5000  0.92
Ce 0.0000 0.3674 0.2866  0.54
Ce 0.0000 0.8674 0.2134  0.54
Ce 0.0000 0.5000 0.0000  0.92
Ce 0.0000 0.6326 0.7134  0.54
Ce 0.5000 0.7056 0.4394  0.54
Ce 0.5000 0.2056 0.0606  0.54
Au 0.5000 0.5952 0.1793  0.03
Au 0.5000 0.4048 0.8207  0.03
Au 0.5000 0.9048 0.6793  0.03
Au 0.5000 0.0952 0.3207  0.03
Re 0.0000 0.0000 0.0000  -0.12
Re 0.0000 0.5000 0.5000  -0.12